# 1
# PBE-GGA CeLuAgPt, optimized geometry
# - energy of formation from the pure elements (eV/atom) = -0.660
# - M_tot (μB/f.u.) = 0.80
data_CeLuAgPt
_chemical_formula_sum 'Ce1 Lu1 Ag1 Pt1'
_symmetry_space_group_name_H-M 'P 1'
_symmetry_Int_Tables_number 1
_cell_length_a 5.0478
_cell_length_b 5.0478
_cell_length_c 5.0478
_cell_angle_alpha 60.00
_cell_angle_beta 60.00
_cell_angle_gamma 60.00
loop_
_symmetry_equiv_pos_as_xyz
'x,y,z'
loop_
_atom_site_label
_atom_site_fract_x
_atom_site_fract_y
_atom_site_fract_z
Pt1 0.7500 0.7500 0.7500
Ce1 0.5000 0.5000 0.5000
Ag1 0.2500 0.2500 0.2500
Lu1 0.0000 0.0000 0.0000

---

# 2
# PBE-GGA CeLuReAg, optimized geometry
# - energy of formation from the pure elements (eV/atom) = -0.003
# - M_tot (μB/f.u.) = 0.15
data_CeLuReAg
_chemical_formula_sum 'Ce1 Lu1 Re1 Ag1'
_symmetry_space_group_name_H-M 'P 1'
_symmetry_Int_Tables_number 1
_cell_length_a 4.9607
_cell_length_b 4.9607
_cell_length_c 4.9607
_cell_angle_alpha 60.00
_cell_angle_beta 60.00
_cell_angle_gamma 60.00
loop_
_symmetry_equiv_pos_as_xyz
'x,y,z'
loop_
_atom_site_label
_atom_site_fract_x
_atom_site_fract_y
_atom_site_fract_z
Re1 0.7500 0.7500 0.7500
Ce1 0.5000 0.5000 0.5000
Ag1 0.2500 0.2500 0.2500
Lu1 0.0000 0.0000 0.0000

---

# 3
# PBE-GGA CeLuAgRu, optimized geometry
# - energy of formation from the pure elements (eV/atom) = -0.262
# - M_tot (μB/f.u.) = 0.36
data_CeLuAgRu
_chemical_formula_sum 'Ce1 Lu1 Ag1 Ru1'
_symmetry_space_group_name_H-M 'P 1'
_symmetry_Int_Tables_number 1
_cell_length_a 4.9669
_cell_length_b 4.9669
_cell_length_c 4.9669
_cell_angle_alpha 60.00
_cell_angle_beta 60.00
_cell_angle_gamma 60.00
loop_
_symmetry_equiv_pos_as_xyz
'x,y,z'
loop_
_atom_site_label
_atom_site_fract_x
_atom_site_fract_y
_atom_site_fract_z
Lu1 0.0000 0.0000 0.0000
Ce1 0.5000 0.5000 0.5000
Ag1 0.2500 0.2500 0.2500
Ru1 0.7500 0.7500 0.7500

---

# 4
# PBE-GGA TbCeLuAg, optimized geometry
# - energy of formation from the pure elements (eV/atom) = 0.139
# - M_tot (μB/f.u.) = 0.02
data_TbCeLuAg
_chemical_formula_sum 'Tb1 Ce1 Lu1 Ag1'
_symmetry_space_group_name_H-M 'P 1'
_symmetry_Int_Tables_number 1
_cell_length_a 5.2192
_cell_length_b 5.2192
_cell_length_c 5.2192
_cell_angle_alpha 60.00
_cell_angle_beta 60.00
_cell_angle_gamma 60.00
loop_
_symmetry_equiv_pos_as_xyz
'x,y,z'
loop_
_atom_site_label
_atom_site_fract_x
_atom_site_fract_y
_atom_site_fract_z
Lu1 0.0000 0.0000 0.0000
Ce1 0.7500 0.7500 0.7500
Ag1 0.2500 0.2500 0.2500
Tb1 0.5000 0.5000 0.5000

---

# 5
# PBE-GGA CeLuTcAg, optimized geometry
# - energy of formation from the pure elements (eV/atom) = -0.103
# - M_tot (μB/f.u.) = 0.30
data_CeLuTcAg
_chemical_formula_sum 'Ce1 Lu1 Tc1 Ag1'
_symmetry_space_group_name_H-M 'P 1'
_symmetry_Int_Tables_number 1
_cell_length_a 4.9655
_cell_length_b 4.9655
_cell_length_c 4.9655
_cell_angle_alpha 60.00
_cell_angle_beta 60.00
_cell_angle_gamma 60.00
loop_
_symmetry_equiv_pos_as_xyz
'x,y,z'
loop_
_atom_site_label
_atom_site_fract_x
_atom_site_fract_y
_atom_site_fract_z
Ce1 0.5000 0.5000 0.5000
Ag1 0.2500 0.2500 0.2500
Lu1 0.0000 0.0000 0.0000
Tc1 0.7500 0.7500 0.7500

---

# 6
# PBE-GGA CeLuThAg, optimized geometry
# - energy of formation from the pure elements (eV/atom) = 0.126
# - M_tot (μB/f.u.) = 0.00
data_CeLuThAg
_chemical_formula_sum 'Ce1 Lu1 Th1 Ag1'
_symmetry_space_group_name_H-M 'P 1'
_symmetry_Int_Tables_number 1
_cell_length_a 5.2435
_cell_length_b 5.2435
_cell_length_c 5.2435
_cell_angle_alpha 60.00
_cell_angle_beta 60.00
_cell_angle_gamma 60.00
loop_
_symmetry_equiv_pos_as_xyz
'x,y,z'
loop_
_atom_site_label
_atom_site_fract_x
_atom_site_fract_y
_atom_site_fract_z
Ag1 0.0000 0.0000 0.0000
Ce1 0.5000 0.5000 0.5000
Th1 0.2500 0.2500 0.2500
Lu1 0.7500 0.7500 0.7500

---

> Among the records above, which one has the lowest energy of formation from the pure elements?

CeLuAgPt